! DyMnAgHg PBE-GGA optimized geometry; values from VASP
&SYSTEM
  ibrav = 0, nat = 4, ntyp = 4
/
ATOMIC_SPECIES
Ag 107.87 Ag.upf
Hg 200.59 Hg.upf
Mn 54.94 Mn.upf
Dy 162.50 Dy.upf
CELL_PARAMETERS angstrom
4.932 0.000 0.000
2.466 4.271 0.000
2.466 1.424 4.027
ATOMIC_POSITIONS crystal
Ag 0.250 0.250 0.250
Hg 0.750 0.750 0.750
Mn 0.000 0.000 0.000
Dy 0.500 0.500 0.500
! DFT formation energy ... -63 meV per atom
! Electronic total energy ... -4.29 eV per atom
! Calculated volume ... 85 Å³/f.u.
! Spin magnetization ... 4.344 μB per formula unit

! Nd2DyAg2Hg2 PBE-GGA optimized geometry; values from VASP
&SYSTEM
  ibrav = 0, nat = 7, ntyp = 4
/
ATOMIC_SPECIES
Ag 107.87 Ag.upf
Nd 144.24 Nd.upf
Hg 200.59 Hg.upf
Dy 162.50 Dy.upf
CELL_PARAMETERS angstrom
4.891 0.000 0.000
2.446 4.236 0.000
2.446 1.412 8.893
ATOMIC_POSITIONS crystal
Ag 0.608 0.608 0.175
Ag 0.392 0.392 0.825
Nd 0.878 0.878 0.367
Nd 0.122 0.122 0.633
Hg 0.265 0.265 0.204
Hg 0.735 0.735 0.796
Dy 0.000 0.000 0.000
! DFT formation energy ... -245 meV per atom
! Electronic total energy ... -3.17 eV per atom
! Calculated volume ... 184 Å³/f.u.
! Spin magnetization ... 0.000 μB per formula unit

! DyNiAgHg PBE-GGA optimized geometry; values from VASP
&SYSTEM
  ibrav = 0, nat = 4, ntyp = 4
/
ATOMIC_SPECIES
Ni 58.69 Ni.upf
Hg 200.59 Hg.upf
Ag 107.87 Ag.upf
Dy 162.50 Dy.upf
CELL_PARAMETERS angstrom
-3.703 -2.153 2.136
0.308 -4.609 1.252
0.277 -1.211 4.622
ATOMIC_POSITIONS crystal
Ni 0.750 0.750 0.750
Hg 0.500 0.500 0.500
Ag 0.250 0.250 0.250
Dy 0.000 0.000 0.000
! DFT formation energy ... -185 meV per atom
! Electronic total energy ... -3.57 eV per atom
! Calculated volume ... 78 Å³/f.u.
! Spin magnetization ... 0.000 μB per formula unit

! Dy4Ag2HgOs PBE-GGA optimized geometry; values from VASP
&SYSTEM
  ibrav = 0, nat = 8, ntyp = 4
/
ATOMIC_SPECIES
Ag 107.87 Ag.upf
Hg 200.59 Hg.upf
Dy 162.50 Dy.upf
Os 190.23 Os.upf
CELL_PARAMETERS angstrom
-4.966 -0.477 1.028
-1.522 -2.832 3.950
-1.786 5.527 6.557
ATOMIC_POSITIONS crystal
Ag 0.745 0.745 0.766
Ag 0.255 0.255 0.234
Hg 0.000 0.000 0.000
Dy 0.132 0.132 0.603
Dy 0.384 0.384 0.848
Dy 0.868 0.868 0.397
Dy 0.616 0.616 0.152
Os 0.500 0.500 0.500
! DFT formation energy ... -365 meV per atom
! Electronic total energy ... -4.82 eV per atom
! Calculated volume ... 185 Å³/f.u.
! Spin magnetization ... 0.000 μB per formula unit

! DyAgHgPb PBE-GGA optimized geometry; values from VASP
&SYSTEM
  ibrav = 0, nat = 4, ntyp = 4
/
ATOMIC_SPECIES
Hg 200.59 Hg.upf
Ag 107.87 Ag.upf
Dy 162.50 Dy.upf
Pb 207.20 Pb.upf
CELL_PARAMETERS angstrom
-4.219 -0.622 -2.902
-2.857 -0.517 4.264
2.969 4.173 -0.625
ATOMIC_POSITIONS crystal
Hg 0.750 0.250 0.500
Ag 0.500 0.500 0.000
Dy 0.000 0.000 0.000
Pb 0.250 0.750 0.500
! DFT formation energy ... -255 meV per atom
! Electronic total energy ... -3.12 eV per atom
! Calculated volume ... 97 Å³/f.u.
! Spin magnetization ... 0.000 μB per formula unit

! DyAgHgPb PBE-GGA optimized geometry; values from VASP
&SYSTEM
  ibrav = 0, nat = 4, ntyp = 4
/
ATOMIC_SPECIES
Pb 207.20 Pb.upf
Ag 107.87 Ag.upf
Hg 200.59 Hg.upf
Dy 162.50 Dy.upf
CELL_PARAMETERS angstrom
5.173 0.000 0.000
2.586 4.480 0.000
2.586 1.493 4.224
ATOMIC_POSITIONS crystal
Pb 0.500 0.500 0.500
Ag 0.250 0.250 0.250
Hg 0.750 0.750 0.750
Dy 0.000 0.000 0.000
! DFT formation energy ... -236 meV per atom
! Electronic total energy ... -3.10 eV per atom
! Calculated volume ... 98 Å³/f.u.
! Spin magnetization ... 0.000 μB per formula unit

! Dy4AgHg2Pd PBE-GGA optimized geometry; values from VASP
&SYSTEM
  ibrav = 0, nat = 8, ntyp = 4
/
ATOMIC_SPECIES
Hg 200.59 Hg.upf
Dy 162.50 Dy.upf
Ag 107.87 Ag.upf
Pd 106.42 Pd.upf
CELL_PARAMETERS angstrom
-0.205 -4.690 -2.154
4.003 -1.756 -2.751
4.579 -5.487 5.318
ATOMIC_POSITIONS crystal
Hg 0.745 0.745 0.764
Hg 0.255 0.255 0.236
Dy 0.872 0.872 0.385
Dy 0.621 0.621 0.138
Dy 0.379 0.379 0.862
Dy 0.128 0.128 0.615
Ag 0.000 0.000 0.000
Pd 0.500 0.500 0.500
! DFT formation energy ... -528 meV per atom
! Electronic total energy ... -3.91 eV per atom
! Calculated volume ... 194 Å³/f.u.
! Spin magnetization ... 0.000 μB per formula unit

! Pm2DyAgHg4 PBE-GGA optimized geometry; values from VASP
&SYSTEM
  ibrav = 0, nat = 8, ntyp = 4
/
ATOMIC_SPECIES
Hg 200.59 Hg.upf
Pm 145.00 Pm.upf
Dy 162.50 Dy.upf
Ag 107.87 Ag.upf
CELL_PARAMETERS angstrom
5.185 0.000 0.000
2.592 4.490 0.000
2.592 1.497 8.721
ATOMIC_POSITIONS crystal
Hg 0.630 0.630 0.110
Hg 0.123 0.123 0.630
Hg 0.370 0.370 0.890
Hg 0.877 0.877 0.370
Pm 0.242 0.242 0.274
Pm 0.758 0.758 0.726
Dy 0.000 0.000 0.000
Ag 0.500 0.500 0.500
! DFT formation energy ... -404 meV per atom
! Electronic total energy ... -2.67 eV per atom
! Calculated volume ... 203 Å³/f.u.
! Spin magnetization ... 0.000 μB per formula unit